Below is Tm4AlSi4Ni2 after structural relaxation, with properties calculated at the PBE-GGA level.

```
data_Tm4AlSi4Ni2
_symmetry_space_group_name_H-M 'C 1 2/m 1'
_symmetry_Int_Tables_number 12
_cell_length_a 14.8486
_cell_length_b 4.1436
_cell_length_c 6.7705
_cell_angle_alpha 90.00
_cell_angle_beta 108.56
_cell_angle_gamma 90.00
loop_
_symmetry_equiv_pos_as_xyz
'x,y,z'
'-x,-y,-z'
'-x,y,-z'
'x,-y,z'
'x+1/2,y+1/2,z'
'-x+1/2,-y+1/2,-z'
'-x+1/2,y+1/2,-z'
'x+1/2,-y+1/2,z'
loop_
_atom_site_label
_atom_site_fract_x
_atom_site_fract_y
_atom_site_fract_z
_atom_site_occupancy
Tm1 0.0880 0.0000 0.3855 1
Tm2 0.1541 0.0000 0.9386 1
Al1 0.0000 0.5000 0.0000 1
Si1 0.0632 0.5000 0.6625 1
Si2 0.2014 0.5000 0.2681 1
Ni1 0.2171 0.5000 0.6396 1
```

Values from the calculation:
The density comes out at 7.8 g/cm³. The total DFT energy (no corrections) comes out at -5.7591 eV per atom. For the calculated volume, the calculation gives 395 Å³ per cell.